# Fe2SiAu | Alexandria | PBE-GGA | relaxed
data_Fe2SiAu
_cell_length_a 2.987
_cell_length_b 2.987
_cell_length_c 6.090
_cell_angle_alpha 90.00
_cell_angle_beta 90.00
_cell_angle_gamma 90.00
_space_group_name_H-M_alt 'P 4 m m'
_space_group_IT_number 99
loop_
_space_group_symop_operation_xyz
'x,y,z'
'-y,x,z'
'-x,-y,z'
'y,-x,z'
'-x,y,z'
'y,x,z'
'x,-y,z'
'-y,-x,z'
loop_
_atom_site_label
_atom_site_type_symbol
_atom_site_fract_x
_atom_site_fract_y
_atom_site_fract_z
_atom_site_occupancy
Fe1 Fe 0.000 0.000 0.000 1
Fe2 Fe 0.500 0.500 0.222 1
Si1 Si 0.000 0.000 0.411 1
Au1 Au 0.500 0.500 0.708 1
# **Calculated density**: 10288 kg/m³
# **Crystal system**: tetragonal
# **ΔE_f (raw)**: 1.13 kcal/mol of atoms
# **M_tot**: 4.7 μB/cell